KV2PtO6 after structural relaxation, computed with PBE with a Hubbard U.

Summary:
The calculation puts the energy at -265.961 eV for the cell shown. The total magnetic moment comes out at 0.0 μB/f.u. The calculation puts the calculated volume at 674.83 Å³ per cell. Its crystal system is monoclinic.

Lattice parameters (Å, degrees): 11.393 11.123 5.947 90.00 116.44 90.00
Space group C2/c (No. 15)
One atom of each set of equivalent atoms:
K (0.000, 0.107, 0.250) [4 per cell]
V (0.193, 0.413, 0.102) [8 per cell]
Pt (0.000, 0.276, 0.750) [4 per cell]
O (0.125, 0.274, 0.117) [8 per cell]
O (0.142, 0.104, 0.753) [8 per cell]
O (0.154, 0.485, 0.794) [8 per cell]